1.
## NaTa2Mn (GGA-PBE)

Data for a relaxed NaTa2Mn crystal.

Total magnetic moment, μB per cell: 0.00
Total DFT energy (no corrections), eV per atom: -7.7967
Energy above the lowest structure with this stoichiometry, eV/f.u.: 0.00
D(E_F), states/eV per cell: 9.50

Structure (CIF):
```
data_NaTa2Mn
_chemical_formula_sum 'Na4 Ta8 Mn4'
_space_group_name_H-M_alt 'F m -3 m'
_space_group_IT_number 225
_space_group_name_Hall '-F 4 2 3'
_cell_length_a 6.363
_cell_length_b 6.363
_cell_length_c 6.363
_cell_angle_alpha 90.00
_cell_angle_beta 90.00
_cell_angle_gamma 90.00
loop_
_atom_site_label
_atom_site_type_symbol
_atom_site_fract_x
_atom_site_fract_y
_atom_site_fract_z
Na1 Na 0.000 0.000 0.000
Ta1 Ta 0.250 0.250 0.250
Mn1 Mn 0.000 0.000 0.500
```

2.
## NaTa2Mn (GGA-PBE)

Data for a relaxed NaTa2Mn crystal.

Total magnetic moment, μB per cell: 0.47
Total DFT energy (no corrections), eV per atom: -7.1963
Energy above the lowest structure with this stoichiometry, eV/f.u.: 2.40
D(E_F), states/eV per cell: 17.72

Structure (CIF):
```
data_NaTa2Mn
_chemical_formula_sum 'Na4 Ta8 Mn4'
_space_group_name_H-M_alt 'I -4 2 d'
_space_group_IT_number 122
_space_group_name_Hall 'I -4 2bw'
_cell_length_a 3.939
_cell_length_b 3.939
_cell_length_c 18.932
_cell_angle_alpha 90.00
_cell_angle_beta 90.00
_cell_angle_gamma 90.00
loop_
_atom_site_label
_atom_site_type_symbol
_atom_site_fract_x
_atom_site_fract_y
_atom_site_fract_z
Na1 Na 0.000 0.000 0.000
Ta1 Ta 0.230 0.750 0.625
Mn1 Mn 0.000 0.000 0.500
```

| no. | E_form (eV per atom) |
| --- | --- |
| 1 | 0.752 |
| 2 | 1.352 |